(1)
Sc12In3Ni | PBE | optimized geometry

Results
Total magnetic moment: 3.99 μB per cell
E_form: -0.226 eV/atom
Raw total energy: -93.59 eV/cell
V: 22.4 Å³/atom

Cell lengths 4.520, 4.520, 17.551 Å; angles 90.00, 90.00, 90.00 degrees
Space group P4/mmm (No. 123)
One atom of each set of equivalent atoms:
Sc (0.000, 0.000, 0.000) x1
Sc (0.000, 0.000, 0.240) x2
Sc (0.000, 0.000, 0.500) x1
Sc (0.000, 0.500, 0.109) x4
Sc (0.000, 0.500, 0.370) x4
In (0.500, 0.500, 0.241) x2
In (0.500, 0.500, 0.500) x1
Ni (0.500, 0.500, 0.000) x1

---

(2)
ErSc5Co2 | PBE | optimized geometry

Results
Total magnetic moment: 0.00 μB per cell
E_form: -0.119 eV/atom
Raw total energy: -205.53 eV/cell
V: 21.7 Å³/atom

Cell lengths 3.422, 12.096, 16.772 Å; angles 90.00, 90.00, 90.00 degrees
Space group Cmcm (No. 63)
One atom of each set of equivalent atoms:
Er (0.000, 0.186, 0.250) x4
Sc (0.000, 0.085, 0.750) x4
Sc (0.000, 0.167, 0.054) x8
Sc (0.000, 0.436, 0.091) x8
Co (0.000, 0.214, 0.630) x8